CePrCdAg: relaxed, GGA-PBE.

CIF file:
```
data_CePrCdAg
_chemical_formula_sum 'Ce4 Pr4 Cd4 Ag4'
_cell_length_a 7.624
_cell_length_b 7.624
_cell_length_c 7.624
_cell_angle_alpha 90.00
_cell_angle_beta 90.00
_cell_angle_gamma 90.00
_symmetry_space_group_name_H-M 'P 1'
_symmetry_Int_Tables_number 1
loop_
_symmetry_equiv_pos_as_xyz
'x,y,z'
loop_
_atom_site_label
_atom_site_type_symbol
_atom_site_fract_x
_atom_site_fract_y
_atom_site_fract_z
Ce1 Ce 0.000 0.000 0.000
Ce2 Ce 0.000 0.500 0.500
Ce3 Ce 0.500 0.000 0.500
Ce4 Ce 0.500 0.500 0.000
Pr1 Pr 0.000 0.000 0.500
Pr2 Pr 0.000 0.500 0.000
Pr3 Pr 0.500 0.000 0.000
Pr4 Pr 0.500 0.500 0.500
Cd1 Cd 0.250 0.250 0.750
Cd2 Cd 0.250 0.750 0.250
Cd3 Cd 0.750 0.250 0.250
Cd4 Cd 0.750 0.750 0.750
Ag1 Ag 0.250 0.250 0.250
Ag2 Ag 0.250 0.750 0.750
Ag3 Ag 0.750 0.250 0.750
Ag4 Ag 0.750 0.750 0.250
```

Calculated values
total moment = 6.07 μB/cell
formation energy = -157 meV/atom